Computed, not measured: an optimized crystal structure of NaTbTe2Au at the PBE-GGA level of DFT.

a b c (Å): 4.843 7.799 8.112
angles (deg): 96.54 90.00 90.00
Fractional coordinates of all 10 atoms:
Na (0.118, 0.500, 0.750)
Na (0.882, 0.500, 0.250)
Tb (0.497, 0.000, 0.250)
Tb (0.503, 0.000, 0.750)
Te (0.660, 0.714, 0.972)
Te (0.660, 0.286, 0.528)
Te (0.340, 0.714, 0.472)
Te (0.340, 0.286, 0.028)
Au (0.000, 0.000, 0.000)
Au (0.000, 0.000, 0.500)

Values from the calculation:
Size of the total moment, μB per atom: 0.000
Uncorrected formation energy, eV per atom: -0.8163


Computed, not measured: an optimized crystal structure of SnGeAs2Se at the PBE-GGA level of DFT.

a b c (Å): 5.226 5.226 5.257
angles (deg): 90.00 90.00 90.00
Fractional coordinates of all 5 atoms:
As (0.000, 0.500, 0.000)
As (0.500, 0.000, 0.000)
Ge (0.500, 0.500, 0.500)
Sn (0.000, 0.000, 0.000)
Se (0.000, 0.000, 0.500)

Values from the calculation:
E above lowest polymorph, meV/atom: 365
Size of the total moment, μB per atom: 0.000
Uncorrected formation energy, eV per atom: 0.8337


Computed, not measured: an optimized crystal structure of CoAgPdCl6 at the PBE-GGA level of DFT.

a b c (Å): 6.249 6.249 11.620
angles (deg): 90.00 90.00 120.00
Site moments in Bohr magnetons follow the coordinates.
Fractional coordinates of all 18 atoms:
Co (0.333, 0.667, 0.250)  0.12
Co (0.667, 0.333, 0.750)  0.12
Ag (0.000, 0.000, 0.000)  0.03
Ag (0.000, 0.000, 0.500)  0.03
Pd (0.667, 0.333, 0.250)  1.08
Pd (0.333, 0.667, 0.750)  1.08
Cl (0.625, 0.656, 0.137)  0.10
Cl (0.031, 0.375, 0.137)  0.10
Cl (0.375, 0.031, 0.637)  0.10
Cl (0.969, 0.625, 0.863)  0.10
Cl (0.344, 0.375, 0.363)  0.10
Cl (0.031, 0.656, 0.363)  0.10
Cl (0.656, 0.031, 0.863)  0.10
Cl (0.625, 0.969, 0.363)  0.10
Cl (0.969, 0.344, 0.637)  0.10
Cl (0.344, 0.969, 0.137)  0.10
Cl (0.656, 0.625, 0.637)  0.10
Cl (0.375, 0.344, 0.863)  0.10

Values from the calculation:
Size of the total moment, μB per atom: 0.224
Uncorrected formation energy, eV per atom: -0.4319


Computed, not measured: an optimized crystal structure of Pr6DyY4 at the PBE-GGA level of DFT.

a b c (Å): 9.998 9.998 9.998
angles (deg): 56.03 141.21 141.21
Fractional coordinates of all 11 atoms:
Pr (0.000, 0.812, 0.455)
Pr (0.000, 0.455, 0.812)
Pr (0.356, 0.545, 0.545)
Pr (0.500, 0.500, 0.000)
Pr (0.644, 0.188, 0.188)
Pr (0.500, 0.000, 0.500)
Dy (0.000, 0.000, 0.000)
Y (0.000, 0.639, 0.009)
Y (0.370, 0.361, 0.361)
Y (0.000, 0.009, 0.639)
Y (0.630, 0.991, 0.991)

Values from the calculation:
Size of the total moment, μB per atom: 0.000
ΔE_f, meV/atom: 271


Computed, not measured: an optimized crystal structure of Sc2CoPb at the PBE-GGA level of DFT.

a b c (Å): 8.521 8.521 8.521
angles (deg): 23.52 23.52 23.52
Fractional coordinates of all 4 atoms:
Co (0.250, 0.250, 0.250)
Pb (0.750, 0.750, 0.750)
Sc (0.978, 0.978, 0.978)
Sc (0.522, 0.522, 0.522)

Values from the calculation:
Size of the total moment, μB per atom: 0.000
ΔE_f, meV/atom: -186


Computed, not measured: an optimized crystal structure of Ta3Pd6Au at the PBE-GGA level of DFT.

a b c (Å): 4.975 8.533 8.533
angles (deg): 111.44 90.00 90.00
Fractional coordinates of all 20 atoms:
Ta (0.466, 0.900, 0.695)
Ta (0.966, 0.695, 0.900)
Ta (0.091, 0.369, 0.631)
Ta (0.591, 0.631, 0.369)
Ta (0.966, 0.100, 0.305)
Ta (0.466, 0.305, 0.100)
Pd (0.056, 0.685, 0.594)
Pd (0.556, 0.594, 0.685)
Pd (0.390, 0.544, 0.964)
Pd (0.890, 0.964, 0.544)
Pd (0.290, 0.964, 0.036)
Pd (0.633, 0.272, 0.728)
Pd (0.133, 0.728, 0.272)
Pd (0.790, 0.036, 0.964)
Pd (0.390, 0.036, 0.456)
Pd (0.890, 0.456, 0.036)
Pd (0.056, 0.406, 0.315)
Pd (0.556, 0.315, 0.406)
Au (0.145, 0.174, 0.826)
Au (0.645, 0.826, 0.174)

Values from the calculation:
Size of the total moment, μB per atom: 0.000
ΔE_f, meV/atom: -131


Computed, not measured: an optimized crystal structure of Li3Y2Cu12Si at the PBE-GGA level of DFT.

a b c (Å): 6.450 6.450 6.450
angles (deg): 83.83 83.83 83.83
Fractional coordinates of all 18 atoms:
Li (0.500, 0.000, 0.000)
Li (0.000, 0.500, 0.000)
Li (0.000, 0.000, 0.500)
Y (0.730, 0.730, 0.730)
Y (0.270, 0.270, 0.270)
Cu (0.433, 0.433, 0.842)
Cu (0.802, 0.802, 0.261)
Cu (0.261, 0.802, 0.802)
Cu (0.842, 0.433, 0.433)
Cu (0.802, 0.261, 0.802)
Cu (0.433, 0.842, 0.433)
Cu (0.567, 0.567, 0.158)
Cu (0.198, 0.198, 0.739)
Cu (0.739, 0.198, 0.198)
Cu (0.158, 0.567, 0.567)
Cu (0.198, 0.739, 0.198)
Cu (0.567, 0.158, 0.567)
Si (0.000, 0.000, 0.000)

Values from the calculation:
Size of the total moment, μB per atom: 0.000
Uncorrected formation energy, eV per atom: -0.0164


Computed, not measured: an optimized crystal structure of Ti2AgAu at the PBE-GGA level of DFT.

a b c (Å): 7.436 7.436 5.901
angles (deg): 50.95 50.95 90.00
Fractional coordinates of all 8 atoms:
Au (0.000, 0.000, 0.000)
Au (0.750, 0.250, 0.500)
Ag (0.500, 0.500, 0.000)
Ag (0.250, 0.750, 0.500)
Ti (0.636, 0.125, 0.250)
Ti (0.114, 0.625, 0.250)
Ti (0.375, 0.364, 0.750)
Ti (0.875, 0.886, 0.750)

Values from the calculation:
Size of the total moment, μB per atom: 0.000
ΔE_f, meV/atom: 226


Computed, not measured: an optimized crystal structure of CuSi3 at the PBE-GGA level of DFT.

a b c (Å): 5.177 5.177 2.496
angles (deg): 90.00 90.00 120.00
Fractional coordinates of all 4 atoms:
Cu (0.000, 0.000, 0.500)
Si (0.500, 0.000, 0.500)
Si (0.000, 0.500, 0.500)
Si (0.500, 0.500, 0.500)

Values from the calculation:
Size of the total moment, μB per atom: 0.000
Uncorrected formation energy, eV per atom: 0.2367


Computed, not measured: an optimized crystal structure of ZrSc2UC4 at the PBE-GGA level of DFT.

a b c (Å): 3.408 5.794 5.892
angles (deg): 70.32 90.00 90.00
Fractional coordinates of all 8 atoms:
Zr (0.000, 0.500, 0.500)
Sc (0.000, 0.000, 0.000)
Sc (0.500, 0.000, 0.500)
U (0.500, 0.500, 0.000)
C (0.000, 0.736, 0.756)
C (0.000, 0.264, 0.244)
C (0.500, 0.740, 0.246)
C (0.500, 0.260, 0.754)

Values from the calculation:
Size of the total moment, μB per atom: 0.000
ΔE_f, meV/atom: -496


Computed, not measured: an optimized crystal structure of Sc2NiAuN at the PBE-GGA level of DFT.

a b c (Å): 4.442 4.442 3.802
angles (deg): 90.00 90.00 90.00
Fractional coordinates of all 5 atoms:
Sc (0.000, 0.500, 0.000)
Sc (0.500, 0.000, 0.000)
Ni (0.000, 0.000, 0.500)
Au (0.500, 0.500, 0.500)
N (0.000, 0.000, 0.000)

Values from the calculation:
Size of the total moment, μB per atom: 0.000
Uncorrected formation energy, eV per atom: -0.9643


Computed, not measured: an optimized crystal structure of Y2Fe4Si9 at the PBE-GGA level of DFT.

a b c (Å): 3.946 3.946 16.105
angles (deg): 90.00 90.00 120.00
Fractional coordinates of all 15 atoms:
Y (0.667, 0.333, 0.242)
Y (0.333, 0.667, 0.758)
Fe (0.667, 0.333, 0.588)
Fe (0.333, 0.667, 0.412)
Fe (0.333, 0.667, 0.101)
Fe (0.667, 0.333, 0.899)
Si (0.000, 0.000, 0.649)
Si (0.000, 0.000, 0.351)
Si (0.000, 0.000, 0.126)
Si (0.000, 0.000, 0.874)
Si (0.667, 0.333, 0.434)
Si (0.333, 0.667, 0.566)
Si (0.333, 0.667, 0.957)
Si (0.667, 0.333, 0.043)
Si (0.000, 0.000, 0.500)

Values from the calculation:
Size of the total moment, μB per atom: 0.000
Uncorrected formation energy, eV per atom: -0.3431


Computed, not measured: an optimized crystal structure of Sr3AsSeCl at the PBE-GGA level of DFT.

a b c (Å): 4.517 10.814 7.847
angles (deg): 89.77 90.00 90.00
Fractional coordinates of all 12 atoms:
Sr (0.750, 0.815, 0.918)
Sr (0.250, 0.185, 0.082)
Sr (0.250, 0.815, 0.410)
Sr (0.750, 0.185, 0.590)
Sr (0.750, 0.504, 0.236)
Sr (0.250, 0.496, 0.764)
As (0.250, 0.677, 0.082)
As (0.750, 0.323, 0.918)
Se (0.250, 0.328, 0.418)
Se (0.750, 0.672, 0.582)
Cl (0.250, 0.998, 0.730)
Cl (0.750, 0.002, 0.270)

Values from the calculation:
Size of the total moment, μB per atom: 0.000
Uncorrected formation energy, eV per atom: -1.7877


Computed, not measured: an optimized crystal structure of Dy12Os3N5 at the PBE-GGA level of DFT.

a b c (Å): 13.113 13.113 13.113
angles (deg): 109.47 109.47 109.47
Fractional coordinates of all 80 atoms:
N (0.125, 0.375, 0.250)
N (0.000, 0.500, 0.000)
N (0.000, 0.000, 0.000)
N (0.375, 0.250, 0.125)
N (0.500, 0.000, 0.500)
N (0.500, 0.500, 0.000)
N (0.125, 0.750, 0.375)
N (0.750, 0.125, 0.875)
N (0.750, 0.625, 0.375)
N (0.375, 0.125, 0.750)
N (0.625, 0.875, 0.250)
N (0.500, 0.500, 0.500)
N (0.500, 0.000, 0.000)
N (0.000, 0.000, 0.500)
N (0.250, 0.375, 0.625)
N (0.250, 0.875, 0.125)
N (0.000, 0.500, 0.500)
N (0.875, 0.250, 0.625)
N (0.625, 0.750, 0.875)
N (0.875, 0.625, 0.750)
Os (0.750, 0.375, 0.125)
Os (0.875, 0.750, 0.125)
Os (0.375, 0.750, 0.625)
Os (0.250, 0.125, 0.375)
Os (0.875, 0.125, 0.250)
Os (0.375, 0.625, 0.250)
Os (0.625, 0.375, 0.750)
Os (0.125, 0.875, 0.750)
Os (0.750, 0.875, 0.625)
Os (0.625, 0.250, 0.375)
Os (0.125, 0.250, 0.875)
Os (0.250, 0.625, 0.875)
Dy (0.706, 0.123, 0.025)
Dy (0.319, 0.525, 0.403)
Dy (0.975, 0.377, 0.294)
Dy (0.525, 0.206, 0.123)
Dy (0.584, 0.706, 0.681)
Dy (0.975, 0.597, 0.181)
Dy (0.319, 0.794, 0.416)
Dy (0.097, 0.916, 0.123)
Dy (0.597, 0.975, 0.681)
Dy (0.706, 0.584, 0.181)
Dy (0.794, 0.475, 0.377)
Dy (0.819, 0.903, 0.025)
Dy (0.123, 0.706, 0.525)
Dy (0.377, 0.403, 0.084)
Dy (0.084, 0.903, 0.377)
Dy (0.416, 0.123, 0.597)
Dy (0.084, 0.181, 0.206)
Dy (0.475, 0.681, 0.097)
Dy (0.819, 0.916, 0.294)
Dy (0.123, 0.416, 0.097)
Dy (0.377, 0.975, 0.794)
Dy (0.597, 0.623, 0.416)
Dy (0.903, 0.819, 0.525)
Dy (0.794, 0.319, 0.916)
Dy (0.403, 0.377, 0.584)
Dy (0.097, 0.181, 0.475)
Dy (0.206, 0.681, 0.084)
Dy (0.181, 0.084, 0.706)
Dy (0.623, 0.025, 0.206)
Dy (0.877, 0.584, 0.903)
Dy (0.525, 0.319, 0.903)
Dy (0.584, 0.877, 0.403)
Dy (0.916, 0.819, 0.794)
Dy (0.916, 0.097, 0.623)
Dy (0.877, 0.294, 0.475)
Dy (0.181, 0.097, 0.975)
Dy (0.623, 0.597, 0.916)
Dy (0.403, 0.025, 0.319)
Dy (0.294, 0.416, 0.819)
Dy (0.206, 0.525, 0.623)
Dy (0.903, 0.084, 0.877)
Dy (0.681, 0.206, 0.584)
Dy (0.475, 0.794, 0.877)
Dy (0.025, 0.403, 0.819)
Dy (0.416, 0.294, 0.319)
Dy (0.025, 0.623, 0.706)
Dy (0.681, 0.475, 0.597)
Dy (0.294, 0.877, 0.975)

Values from the calculation:
Size of the total moment, μB per atom: 0.000
Uncorrected formation energy, eV per atom: -0.7919


Computed, not measured: an optimized crystal structure of CuRuCl2 at the PBE-GGA level of DFT.

a b c (Å): 3.059 5.429 5.436
angles (deg): 50.88 90.00 90.00
Site moments in Bohr magnetons follow the coordinates.
Fractional coordinates of all 4 atoms:
Ru (0.500, 0.744, 0.743)  -0.32
Cu (0.000, 0.534, 0.536)  -0.08
Cl (0.000, 0.939, 0.937)  -0.03
Cl (0.500, 0.284, 0.283)  -0.01

Values from the calculation:
E above lowest polymorph, meV/atom: 181
Size of the total moment, μB per atom: 0.119
Uncorrected formation energy, eV per atom: 0.2123


Computed, not measured: an optimized crystal structure of KBa2I5 at the PBE-GGA level of DFT.

a b c (Å): 5.192 8.658 10.302
angles (deg): 114.85 104.59 90.00
Fractional coordinates of all 8 atoms:
K (0.000, 0.000, 0.000)
Ba (0.188, 0.688, 0.375)
Ba (0.812, 0.312, 0.625)
I (0.000, 0.500, 0.000)
I (0.650, 0.383, 0.299)
I (0.350, 0.617, 0.701)
I (0.650, 0.917, 0.299)
I (0.350, 0.083, 0.701)

Values from the calculation:
E above lowest polymorph, meV/atom: 58
Size of the total moment, μB per atom: 0.001
Uncorrected formation energy, eV per atom: -1.6546


Computed, not measured: an optimized crystal structure of Ti3In4 at the PBE-GGA level of DFT.

a b c (Å): 4.785 4.785 7.906
angles (deg): 72.38 72.38 60.00
Site moments in Bohr magnetons follow the coordinates.
Fractional coordinates of all 7 atoms:
Ti (0.271, 0.271, 0.188)  0.13
Ti (0.729, 0.729, 0.812)  0.13
Ti (0.000, 0.000, 0.000)  0.21
In (0.604, 0.604, 0.187)  0.00
In (0.864, 0.864, 0.407)  0.00
In (0.136, 0.136, 0.593)  0.00
In (0.396, 0.396, 0.813)  0.00

Values from the calculation:
E above lowest polymorph, meV/atom: 29
Size of the total moment, μB per atom: 0.087
ΔE_f, meV/atom: -8


Computed, not measured: an optimized crystal structure of PmPr7Er4 at the PBE-GGA level of DFT.

a b c (Å): 6.054 9.753 8.671
angles (deg): 62.32 69.57 71.92
Fractional coordinates of all 12 atoms:
Pm (0.000, 0.000, 0.000)
Pr (0.786, 0.888, 0.540)
Pr (0.214, 0.112, 0.460)
Pr (0.088, 0.544, 0.279)
Pr (0.912, 0.456, 0.721)
Pr (0.218, 0.752, 0.811)
Pr (0.500, 0.000, 0.000)
Pr (0.782, 0.248, 0.189)
Er (0.568, 0.300, 0.564)
Er (0.432, 0.700, 0.436)
Er (0.667, 0.628, 0.038)
Er (0.333, 0.372, 0.962)

Values from the calculation:
E above lowest polymorph, meV/atom: 194
Size of the total moment, μB per atom: 0.012
ΔE_f, meV/atom: 202


Computed, not measured: an optimized crystal structure of LaBiRu3 at the PBE-GGA level of DFT.

a b c (Å): 4.972 4.972 4.972
angles (deg): 90.00 90.00 90.00
Fractional coordinates of all 5 atoms:
Ru (0.000, 0.500, 0.000)
Ru (0.000, 0.000, 0.500)
Ru (0.500, 0.000, 0.000)
Bi (0.000, 0.000, 0.000)
La (0.500, 0.500, 0.500)

Values from the calculation:
E above lowest polymorph, meV/atom: 0
Size of the total moment, μB per atom: 0.006
ΔE_f, meV/atom: 1044